(1)
DFT (GGA-PBE) results for a relaxed ZrICl2 crystal.

Cell lengths 6.2011, 7.0987, 7.0987 Å; angles 56.90, 90.00, 90.00 degrees
With the nearest neighbours (Å) after each atom.
Positions (direct):
Zr 0.0000 0.0023 0.0023  4 Cl 2.56-2.59
Cl 0.2500 0.2966 0.9969  2 Zr 2.59
I 0.7500 0.6445 0.0288  2 Zr 2.89
I 0.2500 0.0288 0.6445  2 Zr 2.89
Cl 0.7500 0.3148 0.7139  2 Zr 2.56
Zr 0.5000 0.0023 0.0023  4 Cl 2.56-2.59
Cl 0.2500 0.7139 0.3148  2 Zr 2.56
Cl 0.7500 0.9969 0.2966  2 Zr 2.59

Calculated values
- E: -0.361 Ry/atom
- Total magnetization: 0.00 μB per cell
- Density: 3667 kg/m³



(2)
DFT (GGA-PBE) results for a relaxed GdHoTlAg2 crystal.

Cell lengths 3.5163, 7.7746, 7.7746 Å; angles 34.37, 90.00, 90.00 degrees
With the nearest neighbours (Å) after each atom.
Positions (direct):
Ag 0.5000 0.1976 0.1976  2 Ag 2.76, 1 Tl 2.93
Tl 0.5000 0.0005 0.0005  2 Ag 2.93-2.97
Ho 0.0000 0.6226 0.6226  6 Ag 3.10-3.17, 4 Tl 3.41
Gd 0.0000 0.3789 0.3789  6 Ag 3.12-3.22, 4 Tl 3.41
Ag 0.5000 0.8004 0.8004  2 Ag 2.76, 1 Tl 2.97

Calculated values
- E: -0.276 Ry/atom
- Total magnetization: 0.02 μB per cell
- Density: 10273 kg/m³



(3)
DFT (GGA-PBE) results for a relaxed Y2ReB6 crystal.

Cell lengths 9.1784, 11.5551, 3.6774 Å; angles 90.00, 90.00, 90.00 degrees
With the nearest neighbours (Å) after each atom.
Positions (direct):
Y 0.3234 0.4139 0.0000  14 B 2.75-2.83
B 0.9828 0.2118 0.5000  3 B 1.79-1.86
B 0.1004 0.4719 0.5000  3 B 1.84-1.95
Y 0.9431 0.3700 0.0000  12 B 2.60-2.62, 2 Re 2.84-2.85
Y 0.1766 0.9139 0.0000  14 B 2.75-2.83
B 0.5533 0.4329 0.5000  3 B 1.79-1.83
B 0.6004 0.0281 0.5000  3 B 1.84-1.95
Y 0.0569 0.6300 0.0000  12 B 2.60-2.62, 2 Re 2.84-2.85
Re 0.6386 0.3208 0.0000  10 B 2.36-2.41
B 0.1312 0.3143 0.5000  3 B 1.74-1.84
Y 0.5569 0.8700 0.0000  12 B 2.60-2.62, 2 Re 2.84-2.85
B 0.5172 0.7118 0.5000  3 B 1.79-1.86
B 0.8996 0.5281 0.5000  3 B 1.84-1.95
B 0.2920 0.2347 0.5000  3 B 1.74-1.86
Y 0.4431 0.1300 0.0000  12 B 2.60-2.62, 2 Re 2.84-2.85
Re 0.8614 0.8208 0.0000  10 B 2.36-2.41
B 0.7510 0.9185 0.5000  3 B 1.80-1.87
Y 0.6766 0.5861 0.0000  14 B 2.75-2.83
B 0.3688 0.8143 0.5000  3 B 1.74-1.84
B 0.6312 0.1857 0.5000  3 B 1.74-1.84
B 0.2510 0.5815 0.5000  3 B 1.80-1.87
B 0.4828 0.2882 0.5000  3 B 1.79-1.86
B 0.7920 0.2653 0.5000  3 B 1.74-1.86
B 0.7080 0.7653 0.5000  3 B 1.74-1.86
B 0.3996 0.9719 0.5000  3 B 1.84-1.95
B 0.9467 0.9329 0.5000  3 B 1.79-1.83
Re 0.3614 0.6792 0.0000  10 B 2.36-2.41
Y 0.8234 0.0861 0.0000  14 B 2.75-2.83
B 0.8688 0.6857 0.5000  3 B 1.74-1.84
B 0.7490 0.4185 0.5000  3 B 1.80-1.87
Re 0.1386 0.1792 0.0000  10 B 2.36-2.41
B 0.2490 0.0815 0.5000  3 B 1.80-1.87
B 0.4467 0.5671 0.5000  3 B 1.79-1.83
B 0.2080 0.7347 0.5000  3 B 1.74-1.86
B 0.0172 0.7882 0.5000  3 B 1.79-1.86
B 0.0533 0.0671 0.5000  3 B 1.79-1.83

Calculated values
- E: -0.579 Ry/atom
- Total magnetization: 0.00 μB per cell
- Density: 7304 kg/m³



(4)
DFT (GGA-PBE) results for a relaxed SiAg2Pt crystal.

Cell lengths 4.4860, 4.4860, 4.4860 Å; angles 60.00, 60.00, 60.00 degrees
With the nearest neighbours (Å) after each atom.
Positions (direct):
Si 0.5000 0.5000 0.5000  4 Pt 2.75, 4 Ag 2.75
Pt 0.2500 0.2500 0.2500  4 Si 2.75, 4 Ag 2.75
Ag 0.0000 0.0000 0.0000  4 Ag 2.75, 4 Pt 2.75
Ag 0.7500 0.7500 0.7500  4 Si 2.75, 4 Ag 2.75

Calculated values
- E: -0.312 Ry/atom
- Total magnetization: 0.00 μB per cell
- Density: 11417 kg/m³



(5)
DFT (GGA-PBE) results for a relaxed GdU crystal.

Cell lengths 4.3426, 4.3426, 4.3426 Å; angles 60.00, 60.00, 60.00 degrees
With the nearest neighbours (Å) after each atom.
Positions (direct):
U 0.2500 0.2500 0.2500  4 Gd 2.66
Gd 0.0000 0.0000 0.0000  4 U 2.66

Calculated values
- E: -0.415 Ry/atom
- Formation energy: 2.32 eV per atom
- Total magnetization: 0.72 μB per cell
- Density: 11335 kg/m³



(6)
DFT (GGA-PBE) results for a relaxed ZnGa2W crystal.

Cell lengths 4.4669, 4.4669, 4.4669 Å; angles 60.00, 60.00, 60.00 degrees
With the nearest neighbours (Å) after each atom.
Positions (direct):
W 0.2500 0.2500 0.2500  4 Zn 2.74, 4 Ga 2.74
Ga 0.5000 0.5000 0.5000  4 Ga 2.74, 4 W 2.74
Zn 0.0000 0.0000 0.0000  4 W 2.74, 4 Ga 2.74
Ga 0.7500 0.7500 0.7500  4 Ga 2.74, 4 Zn 2.74

Calculated values
- E: -0.328 Ry/atom
- Total magnetization: 0.21 μB per cell
- Density: 10242 kg/m³



(7)
DFT (GGA-PBE) results for a relaxed SrZrBePd crystal.

Cell lengths 4.7651, 4.7651, 4.7651 Å; angles 60.00, 60.00, 60.00 degrees
With the nearest neighbours (Å) after each atom.
Positions (direct):
Sr 0.2500 0.2500 0.2500  4 Pd 2.92, 4 Zr 2.92
Pd 0.5000 0.5000 0.5000  4 Sr 2.92, 4 Be 2.92
Zr 0.0000 0.0000 0.0000  4 Be 2.92, 4 Sr 2.92
Be 0.7500 0.7500 0.7500  4 Pd 2.92, 4 Zr 2.92

Calculated values
- E: -0.324 Ry/atom
- Total magnetization: 0.00 μB per cell
- Density: 6387 kg/m³



(8)
DFT (GGA-PBE) results for a relaxed FeH crystal.

Cell lengths 4.5976, 2.5425, 2.5116 Å; angles 90.00, 90.00, 90.00 degrees
With the nearest neighbours (Å) after each atom.
Positions (direct):
Fe 0.7500 0.0000 0.7508  4 H 1.79
H 0.7500 0.5000 0.2509  4 Fe 1.79
Fe 0.2500 0.0000 0.2492  4 H 1.79
H 0.2500 0.5000 0.7491  4 Fe 1.79

Calculated values
- E: -0.410 Ry/atom
- Total magnetization: 4.85 μB per cell
- Density: 6431 kg/m³